[1]
! BaSiSb4 | Alexandria | SCAN | PBEsol geometry; values from VASP
&SYSTEM
  ibrav = 0, nat = 6, ntyp = 3
/
ATOMIC_SPECIES
Sb 121.76 Sb.upf
Si 28.09 Si.upf
Ba 137.33 Ba.upf
CELL_PARAMETERS angstrom
6.247 0.000 0.000
3.123 5.410 0.000
3.123 1.803 5.101
ATOMIC_POSITIONS crystal
Sb 0.377 0.377 0.869
Sb 0.869 0.377 0.377
Si 0.750 0.750 0.750
Sb 0.377 0.377 0.377
Sb 0.377 0.869 0.377
Ba 0.000 0.000 0.000
! - total DFT energy (no corrections) (eV per formula unit) = -198.0
! - size of the total moment (μB/cell) = 0.00
! - SG = F-43m, No. 216

***

[2]
! CsFeNF2 | Alexandria | SCAN | PBEsol geometry; values from VASP
&SYSTEM
  ibrav = 0, nat = 5, ntyp = 4
/
ATOMIC_SPECIES
Cs 132.91 Cs.upf
F 19.00 F.upf
Fe 55.84 Fe.upf
N 14.01 N.upf
CELL_PARAMETERS angstrom
-3.573 -1.442 -3.404
3.695 -1.246 -3.350
0.121 -5.022 2.001
ATOMIC_POSITIONS crystal
Cs 0.000 0.000 0.000
F 0.500 0.000 0.000
F 0.000 0.500 0.000
Fe 0.500 0.500 0.500
N 0.000 0.000 0.500
! - total DFT energy (no corrections) (eV per formula unit) = -69.4
! - size of the total moment (μB/cell) = 6.23
! - SG = P4/mmm, No. 123

***

[3]
! Zn2Ga2Pb | Alexandria | SCAN | PBEsol geometry; values from VASP
&SYSTEM
  ibrav = 0, nat = 5, ntyp = 3
/
ATOMIC_SPECIES
Pb 207.20 Pb.upf
Zn 65.41 Zn.upf
Ga 69.72 Ga.upf
CELL_PARAMETERS angstrom
4.099 0.000 0.000
0.000 4.099 0.000
-2.050 -2.050 5.682
ATOMIC_POSITIONS crystal
Pb 0.000 0.000 0.000
Zn 0.250 0.750 0.500
Ga 0.611 0.611 0.222
Ga 0.389 0.389 0.778
Zn 0.750 0.250 0.500
! - ΔH_f (0 K) (meV per atom) = 64
! - size of the total moment (μB/cell) = 0.00
! - SG = I4/mmm, No. 139

***

[4]
! BaScCl2 | Alexandria | SCAN | PBEsol geometry; values from VASP
&SYSTEM
  ibrav = 0, nat = 4, ntyp = 3
/
ATOMIC_SPECIES
Cl 35.45 Cl.upf
Ba 137.33 Ba.upf
Sc 44.96 Sc.upf
CELL_PARAMETERS angstrom
3.531 0.000 0.000
-1.766 3.413 0.000
0.000 0.000 8.938
ATOMIC_POSITIONS crystal
Cl 0.000 0.000 0.713
Ba 0.500 0.000 0.000
Cl 0.000 0.000 0.287
Sc 0.500 0.000 0.500
! - offset from the most stable computed form (meV/atom) = 182
! - size of the total moment (μB/cell) = 0.64
! - SG = Cmmm, No. 65

***

[5]
! LuScIr2 | Alexandria | SCAN | PBEsol geometry; values from VASP
&SYSTEM
  ibrav = 0, nat = 4, ntyp = 3
/
ATOMIC_SPECIES
Ir 192.22 Ir.upf
Sc 44.96 Sc.upf
Lu 174.97 Lu.upf
CELL_PARAMETERS angstrom
-0.294 1.372 4.373
0.039 -3.101 3.387
3.653 -0.337 2.763
ATOMIC_POSITIONS crystal
Ir 0.250 0.250 0.250
Sc 0.500 0.500 0.500
Lu 0.000 0.000 0.000
Ir 0.750 0.750 0.750
! - ΔH_f (0 K) (meV per atom) = -1208
! - size of the total moment (μB/cell) = 0.00
! - SG = Fm-3m, No. 225

***

[6]
! CsRbHg3 | Alexandria | SCAN | PBEsol geometry; values from VASP
&SYSTEM
  ibrav = 0, nat = 5, ntyp = 3
/
ATOMIC_SPECIES
Rb 85.47 Rb.upf
Hg 200.59 Hg.upf
Cs 132.91 Cs.upf
CELL_PARAMETERS angstrom
-3.547 4.385 2.965
-4.902 -1.374 -3.832
-1.997 -4.414 4.138
ATOMIC_POSITIONS crystal
Rb 0.000 0.000 0.000
Hg 0.500 0.000 0.000
Hg 0.000 0.500 0.000
Cs 0.500 0.500 0.500
Hg 0.000 0.000 0.500
! - ΔH_f (0 K) (meV per atom) = -46
! - size of the total moment (μB/cell) = 0.00
! - SG = Pm-3m, No. 221

***

[7]
! BaMgI3 | Alexandria | SCAN | PBEsol geometry; values from VASP
&SYSTEM
  ibrav = 0, nat = 5, ntyp = 3
/
ATOMIC_SPECIES
Mg 24.30 Mg.upf
I 126.90 I.upf
Ba 137.33 Ba.upf
CELL_PARAMETERS angstrom
5.700 0.000 0.000
0.000 5.700 0.000
0.000 0.000 5.700
ATOMIC_POSITIONS crystal
Mg 0.000 0.000 0.000
I 0.000 0.000 0.500
I 0.000 0.500 0.000
I 0.500 0.000 0.000
Ba 0.500 0.500 0.500
! - total DFT energy (no corrections) (eV per formula unit) = -160.5
! - size of the total moment (μB/cell) = 0.00
! - SG = Pm-3m, No. 221

***

[8]
! MnPBr2 | Alexandria | SCAN | PBEsol geometry; values from VASP
&SYSTEM
  ibrav = 0, nat = 4, ntyp = 3
/
ATOMIC_SPECIES
P 30.97 P.upf
Br 79.90 Br.upf
Mn 54.94 Mn.upf
CELL_PARAMETERS angstrom
-2.679 -1.673 0.961
-0.167 -1.907 -3.782
3.470 -4.376 2.053
ATOMIC_POSITIONS crystal
P 0.000 0.500 0.500
Br 0.500 0.000 0.500
Mn 0.500 0.500 0.000
Br 0.000 0.000 0.000
! - total DFT energy (no corrections) (eV per formula unit) = -66.9
! - size of the total moment (μB/cell) = 4.94
! - SG = Pmmm, No. 47

***

> What is the size of the total moment in the fifth record?

0.00 μB/cell